1.
Material: BiSb3Pd
Method: DFT, PBE
State: relaxed

abc: 5.775 5.775 5.775
angles: 90.00 90.00 90.00
Fractional positions:
Sb: 0.000 0.500 0.000
Sb: 0.000 0.000 0.500
Sb: 0.500 0.000 0.000
Bi: 0.000 0.000 0.000
Pd: 0.500 0.500 0.500

Computed properties:
Crystal system: cubic
Symmetry: Pm-3m (221)
Fermi-level density of states (states/eV/f.u.): 5.021

2.
Material: BaTlTc2O6
Method: DFT, PBE
State: relaxed

abc: 6.896 6.896 6.370
angles: 57.23 57.23 60.00
Last column: magnetic moment on the atom in μB.
Fractional positions:
Ba: 0.500 0.500 0.500  0.00
Tl: 0.000 0.000 0.000  0.00
Tc: 0.756 0.756 0.732  0.36
Tc: 0.244 0.244 0.268  0.36
O: 0.024 0.514 0.731  0.03
O: 0.731 0.024 0.731  0.03
O: 0.486 0.269 0.269  0.03
O: 0.976 0.486 0.269  0.03
O: 0.269 0.976 0.269  0.03
O: 0.514 0.731 0.731  0.03

Computed properties:
Crystal system: trigonal
Symmetry: R-3 (148)
Fermi-level density of states (states/eV/f.u.): 7.322

3.
Material: Sr7H12N
Method: DFT, PBE
State: relaxed

abc: 4.426 9.948 9.948
angles: 117.84 98.53 98.53
Fractional positions:
Sr: 0.119 0.732 0.120
Sr: 0.002 0.120 0.388
Sr: 0.613 0.612 0.732
Sr: 0.500 0.000 0.000
Sr: 0.387 0.388 0.268
Sr: 0.998 0.880 0.612
Sr: 0.881 0.268 0.880
H: 0.074 0.500 0.147
H: 0.073 0.147 0.647
H: 0.572 0.737 0.009
H: 0.438 0.009 0.273
H: 0.426 0.353 0.500
H: 0.165 0.727 0.737
H: 0.835 0.273 0.263
H: 0.574 0.647 0.500
H: 0.562 0.991 0.727
H: 0.428 0.263 0.991
H: 0.927 0.853 0.353
H: 0.926 0.500 0.853
N: 0.000 0.000 0.000

Computed properties:
Crystal system: trigonal
Symmetry: R-3 (148)
Fermi-level density of states (states/eV/f.u.): 1.567

4.
Material: CaSmBi2
Method: DFT, PBE
State: relaxed

abc: 4.190 4.190 7.048
angles: 90.00 90.00 90.00
Fractional positions:
Ca: 0.500 0.500 0.000
Bi: 0.000 0.000 0.743
Bi: 0.000 0.000 0.257
Sm: 0.500 0.500 0.500

Computed properties:
Crystal system: tetragonal
Symmetry: P4/mmm (123)
DFT formation energy (eV per atom): -0.697
Fermi-level density of states (states/eV/f.u.): 3.003

5.
Material: Rb2NpWN4
Method: DFT, PBE
State: relaxed

abc: 6.486 7.212 7.340
angles: 90.00 90.00 90.00
Last column: magnetic moment on the atom in μB.
Fractional positions:
Rb: 0.500 0.291 0.246  0.01
Rb: 0.500 0.291 0.754  0.01
Rb: 0.000 0.709 0.746  0.01
Rb: 0.000 0.709 0.254  0.01
Np: 0.000 0.181 0.500  3.01
Np: 0.500 0.819 0.000  3.01
W: 0.500 0.849 0.500  0.01
W: 0.000 0.151 0.000  0.01
N: 0.237 0.000 0.000  -0.06
N: 0.737 0.000 0.500  -0.06
N: 0.264 0.000 0.500  -0.06
N: 0.764 0.000 0.000  -0.06
N: 0.500 0.707 0.718  -0.07
N: 0.000 0.293 0.218  -0.07
N: 0.000 0.293 0.782  -0.07
N: 0.500 0.707 0.282  -0.07

Computed properties:
Crystal system: orthorhombic
Symmetry: Pmmn (59)
Fermi-level density of states (states/eV/f.u.): 3.904

6.
Material: Nd6Bi3Te2Se
Method: DFT, PBE
State: relaxed

abc: 4.517 9.018 10.102
angles: 102.69 102.92 90.00
Fractional positions:
Nd: 0.342 0.921 0.684
Nd: 0.665 0.586 0.330
Nd: 0.658 0.079 0.316
Nd: 0.998 0.235 0.996
Nd: 0.002 0.765 0.004
Nd: 0.335 0.414 0.670
Bi: 0.500 0.500 0.000
Bi: 0.829 0.163 0.659
Bi: 0.171 0.837 0.341
Te: 0.834 0.666 0.668
Te: 0.166 0.334 0.332
Se: 0.500 0.000 0.000

Computed properties:
Crystal system: monoclinic
Symmetry: C2/m (12)
Fermi-level density of states (states/eV/f.u.): 5.566

7.
Material: FeSnPtCl2
Method: DFT, PBE
State: relaxed

abc: 4.309 6.305 4.309
angles: 90.00 90.00 90.00
Last column: magnetic moment on the atom in μB.
Fractional positions:
Cl: 0.000 0.000 0.500  0.08
Cl: 0.500 0.000 0.000  0.17
Sn: 0.000 0.500 0.000  -0.07
Pt: 0.500 0.500 0.500  -0.09
Fe: 0.000 0.000 0.000  2.80

Computed properties:
Crystal system: tetragonal
Symmetry: P4/mmm (123)
Fermi-level density of states (states/eV/f.u.): 4.594

8.
Material: Pu3RuAu2
Method: DFT, PBE
State: relaxed

abc: 3.294 3.294 12.125
angles: 90.00 90.00 90.00
Last column: magnetic moment on the atom in μB.
Fractional positions:
Pu: 0.000 0.000 0.000  -5.51
Pu: 0.000 0.000 0.646  5.25
Pu: 0.000 0.000 0.354  5.25
Ru: 0.500 0.500 0.500  -0.64
Au: 0.500 0.500 0.826  -0.01
Au: 0.500 0.500 0.174  -0.01

Computed properties:
Crystal system: tetragonal
Symmetry: P4/mmm (123)
DFT formation energy (eV per atom): -0.343
Fermi-level density of states (states/eV/f.u.): 16.227

| no. | raw total energy (eV per atom) | magnetization (μB/f.u.) |
| --- | --- | --- |
| 1 | -3.039 | 0.0 |
| 2 | -6.847 | 1.1 |
| 3 | -3.369 | 0.0 |
| 4 | -4.317 | 0.0 |
| 5 | -8.144 | 3.0 |
| 6 | -5.424 | 0.0 |
| 7 | -4.250 | 2.9 |
| 8 | -10.147 | 4.5 |